HoEr2NiSn3Pt2: optimized geometry, PBE.

Output
Calculated total energy in eV/atom: -5.808

Cell lengths 3.893, 7.486, 7.486 Å; angles 120.06, 90.00, 90.00 degrees
Fractional coordinates of all 9 atoms:
Er 0.000 0.595 0.000
Er 0.000 0.000 0.595
Ho 0.000 0.405 0.405
Sn 0.500 0.249 0.000
Sn 0.500 0.000 0.249
Sn 0.500 0.751 0.751
Pt 0.500 0.333 0.667
Pt 0.500 0.667 0.333
Ni 0.000 0.000 0.000

PAu5: optimized geometry, PBE.

Output
Calculated total energy in eV/atom: -3.540

Cell lengths 6.948, 6.948, 8.868 Å; angles 90.00, 90.00, 121.46 degrees
Fractional coordinates of all 12 atoms:
Au 0.434 0.566 0.750
Au 0.560 0.024 0.250
Au 0.294 0.706 0.006
Au 0.024 0.560 0.750
Au 0.294 0.706 0.494
Au 0.976 0.440 0.250
Au 0.706 0.294 0.506
Au 0.440 0.976 0.750
Au 0.566 0.434 0.250
Au 0.706 0.294 0.994
P 0.376 0.624 0.250
P 0.624 0.376 0.750